VASP calculation (PBE-GGA) on a relaxed Ta3Ir2Ru3 crystal.

```
Ta3Ir2Ru3
1.0
3.806 0.000 0.000
0.000 3.978 0.000
0.000 0.000 8.232
Ta Ir Ru
3 2 3
Direct
0.000 0.000 0.000
0.000 0.500 0.275
0.000 0.500 0.725
0.500 0.000 0.254
0.500 0.000 0.746
0.000 0.000 0.500
0.500 0.500 0.000
0.500 0.500 0.500
```

Summary:
E_form	-0.455	eV per atom
total moment	0.000	μB/atom
DOS(E_F)	0.65	states/eV/atom